[1]
Density functional theory data (PBE) for a geometry-optimized La2ZrSe structure.

Unit cell a=9.7777 b=9.7777 c=5.2245 alpha=90.00 beta=90.00 gamma=90.00
Last column: nearest neighbours and their distance in Å.
Space group I-42d (No. 122)
Unique sites:
La: 0.1556 0.2500 0.1250 [8 per cell]  2 Se 2.95, 2 La 3.20
Zr: 0.0000 0.0000 0.5000 [4 per cell]  2 Se 2.61
Se: 0.0000 0.0000 0.0000 [4 per cell]  2 Zr 2.61

Raw total energy   -5.82 eV/atom
Magnetic moment   0.00 μB/f.u.
D(E_F)   1.490 states/eV per atom


[2]
Density functional theory data (PBE) for a geometry-optimized La2ZrSe structure.

Unit cell a=3.6043 b=3.6043 c=8.6488 alpha=90.00 beta=90.00 gamma=90.00
Last column: nearest neighbours and their distance in Å.
Space group P4mm (No. 99)
Unique sites:
La: 0.0000 0.0000 0.0000 [1 per cell]  4 Zr 3.43, 1 Se 3.52, 4 La 3.60
La: 0.5000 0.5000 0.3480 [1 per cell]  4 Se 3.32, 1 Zr 3.34, 4 La 3.60
Zr: 0.5000 0.5000 0.7342 [1 per cell]  4 Se 2.83
Se: 0.0000 0.0000 0.5932 [1 per cell]  4 Zr 2.83

Raw total energy   -6.08 eV/atom
Magnetic moment   0.00 μB/f.u.
D(E_F)   0.777 states/eV per atom


[3]
Density functional theory data (PBE) for a geometry-optimized La2ZrSe structure.

Unit cell a=6.5360 b=8.8317 c=3.6338 alpha=90.00 beta=90.00 gamma=90.00
Last column: nearest neighbours and their distance in Å.
Space group Cmmm (No. 65)
Unique sites:
La: 0.2500 0.2500 0.0000 [4 per cell]  4 La 3.27-3.63, 4 Zr 3.29, 4 Se 3.29
Zr: 0.0000 0.0000 0.5000 [2 per cell]  2 Se 3.27, 8 La 3.29, 2 Zr 3.63
Se: 0.0000 0.5000 0.5000 [2 per cell]  2 Zr 3.27, 8 La 3.29, 2 Se 3.63

Raw total energy   -6.05 eV/atom
Magnetic moment   0.00 μB/f.u.
D(E_F)   1.011 states/eV per atom


[4]
Density functional theory data (PBE) for a geometry-optimized LaZr2Se structure.

Unit cell a=3.7491 b=4.5278 c=6.3291 alpha=90.00 beta=107.07 gamma=90.00
Last column: nearest neighbours and their distance in Å.
Space group Pm (No. 6)
Unique sites:
La: 0.0000 0.0000 0.0000 [1 per cell]  4 Se 3.13, 3 Zr 3.20-3.42
Zr: 0.2633 0.5000 0.5329 [1 per cell]  2 Se 2.84, 4 Zr 2.96
Zr: 0.7324 0.0000 0.4715 [1 per cell]  2 Se 2.87, 4 Zr 2.96, 1 La 3.20
Se: 0.5887 0.5000 0.1798 [1 per cell]  4 Zr 2.84-2.87, 4 La 3.13

Raw total energy   -6.95 eV/atom
Magnetic moment   0.00 μB/f.u.
D(E_F)   0.876 states/eV per atom


[5]
Density functional theory data (PBE) for a geometry-optimized La2ZrSe structure.

Unit cell a=4.5357 b=4.5357 c=10.2940 alpha=90.00 beta=90.00 gamma=90.00
Last column: nearest neighbours and their distance in Å.
Space group I-4m2 (No. 119)
Unique sites:
La: 0.0000 0.0000 0.0000 [2 per cell]  4 Zr 3.21, 4 La 3.43, 4 Se 3.43
La: 0.0000 0.5000 0.2500 [2 per cell]  4 Se 3.21, 4 Zr 3.43, 4 La 3.43
Zr: 0.0000 0.0000 0.5000 [2 per cell]  8 La 3.21-3.43, 4 Se 3.43
Se: 0.0000 0.5000 0.7500 [2 per cell]  8 La 3.21-3.43, 4 Zr 3.43

Raw total energy   -5.83 eV/atom
Magnetic moment   0.00 μB/f.u.
D(E_F)   1.432 states/eV per atom


[6]
Density functional theory data (PBE) for a geometry-optimized LaZrSe structure.

Unit cell a=6.8423 b=6.8423 c=6.8423 alpha=90.00 beta=90.00 gamma=90.00
Last column: nearest neighbours and their distance in Å.
Space group F-43m (No. 216)
Unique sites:
La: 0.0000 0.0000 0.0000 [4 per cell]  4 Se 2.96
Zr: 0.0000 0.0000 0.5000 [4 per cell]  4 Se 2.96
Se: 0.2500 0.2500 0.2500 [4 per cell]  4 Zr 2.96, 4 La 2.96

Raw total energy   -6.19 eV/atom
Magnetic moment   0.00 μB/f.u.
D(E_F)   1.103 states/eV per atom
Excess energy over the best structure of this formula in the dataset   308.1 meV/atom


Q: Among the records above, which one has the highest raw total energy?
A: number 1


Q: magnetic moment of number 6 (LaZrSe)?
A: 0.00 μB/f.u.